# BaCrCoF6, relaxed, DFT PBE+U
data_BaCrCoF6
_cell_length_a 5.7237
_cell_length_b 9.4374
_cell_length_c 5.6018
_cell_angle_alpha 90.00
_cell_angle_beta 91.78
_cell_angle_gamma 90.00
_space_group_name_H-M_alt 'C 1 2 1'
_space_group_IT_number 5
loop_
_space_group_symop_operation_xyz
'x,y,z'
'-x,y,-z'
'x+1/2,y+1/2,z'
'-x+1/2,y+1/2,-z'
loop_
_atom_site_label
_atom_site_fract_x
_atom_site_fract_y
_atom_site_fract_z
Ba1 0.0000 0.0000 0.0000
Cr1 0.0000 0.6723 0.5000
Co1 0.0000 0.3357 0.5000
F1 0.1349 0.5077 0.6978
F2 0.1627 0.1985 0.7260
F3 0.1874 0.8230 0.6891
# Total DFT energy (no corrections) ... -5.715 eV per atom
# Total magnetization ... 14.00 μB per cell